No. 1
This record from Alexandria via LeMat-Bulk describes crystalline KReNi at its relaxed geometry. The functional is GGA-PBE.

POSCAR file:
```
KReNi
1.0
0.000 3.342 3.342
3.342 0.000 3.342
3.342 3.342 0.000
K Re Ni
1 1 1
Direct
0.000 0.000 0.000 K
0.750 0.750 0.750 Re
0.250 0.250 0.250 Ni
```

Output
Calculated volume ... 74.6 Å³ per cell
Total magnetic moment ... 4.214 Bohr magnetons per cell
Calculated formation energy ... 2.883 eV/atom



No. 2
This record from Alexandria via LeMat-Bulk describes crystalline KReNi2 at its relaxed geometry. The functional is GGA-PBE.

POSCAR file:
```
KReNi2
1.0
2.823 0.000 0.000
0.000 2.823 0.000
0.000 0.000 8.444
K Re Ni
1 1 2
Direct
0.000 0.000 0.000 K
0.000 0.000 0.500 Re
0.500 0.500 0.313 Ni
0.500 0.500 0.687 Ni
```

Output
Calculated volume ... 67.3 Å³ per cell
Total magnetic moment ... 0.000 Bohr magnetons per cell
Calculated formation energy ... 0.519 eV/atom



No. 3
This record from Alexandria via LeMat-Bulk describes crystalline KReNi at its relaxed geometry. The functional is GGA-PBE.

POSCAR file:
```
KReNi
1.0
4.872 0.000 0.000
-2.436 4.219 0.000
0.000 0.000 5.183
K Re Ni
2 2 2
Direct
0.000 0.000 0.000 K
0.000 0.000 0.500 K
0.333 0.667 0.250 Re
0.667 0.333 0.750 Re
0.333 0.667 0.750 Ni
0.667 0.333 0.250 Ni
```

Output
Calculated volume ... 106.5 Å³ per cell
Total magnetic moment ... 2.460 Bohr magnetons per cell
Calculated formation energy ... 1.752 eV/atom



No. 4
This record from Alexandria via LeMat-Bulk describes crystalline KReNi at its relaxed geometry. The functional is GGA-PBE.

POSCAR file:
```
KReNi
1.0
2.903 0.000 0.000
0.000 4.082 0.000
-0.051 -0.020 12.263
K Re Ni
2 2 2
Direct
0.000 0.000 0.000 K
0.494 0.502 0.649 K
0.492 0.500 0.367 Re
0.994 0.001 0.428 Re
0.492 0.999 0.243 Ni
0.989 0.499 0.204 Ni
```

Output
Calculated volume ... 145.3 Å³ per cell
Total magnetic moment ... 0.000 Bohr magnetons per cell
Calculated formation energy ... 0.528 eV/atom